Model P:
TbNdSmHo: optimized geometry, PBE.

a b c (Å): 5.7266 5.7266 5.7266
angles (deg): 60.00 60.00 60.00
Closest atoms and distances in Å follow each position.
Fractional coordinates of all 4 atoms:
Tb 0.0000 0.0000 0.0000  4 Sm 3.51, 4 Nd 3.51
Nd 0.2500 0.2500 0.2500  4 Tb 3.51, 4 Ho 3.51
Sm 0.7500 0.7500 0.7500  4 Tb 3.51, 4 Ho 3.51
Ho 0.5000 0.5000 0.5000  4 Sm 3.51, 4 Nd 3.51

Magnetic moment = 0.000 μB per formula unit

***

Model Q:
TbNdSmHo: optimized geometry, PBE.

a b c (Å): 6.2276 6.2276 6.2276
angles (deg): 131.72 131.72 70.67
Closest atoms and distances in Å follow each position.
Fractional coordinates of all 4 atoms:
Tb 0.0000 0.0000 0.0000  4 Ho 3.60, 4 Nd 3.60, 4 Sm 3.60
Nd 0.2500 0.7500 0.5000  4 Sm 3.60, 4 Tb 3.60, 4 Ho 3.60
Sm 0.5000 0.5000 0.0000  4 Ho 3.60, 4 Nd 3.60, 4 Tb 3.60
Ho 0.7500 0.2500 0.5000  4 Sm 3.60, 4 Tb 3.60, 4 Nd 3.60

Magnetic moment = 0.000 μB per formula unit

***

Verdict on stability: model Q comes out on top.

***

Model P:
NdSmHoTl: optimized geometry, PBE.

a b c (Å): 5.5607 5.5607 5.5607
angles (deg): 60.00 60.00 60.00
Closest atoms and distances in Å follow each position.
Fractional coordinates of all 4 atoms:
Nd 0.0000 0.0000 0.0000  4 Ho 3.41, 4 Tl 3.41
Sm 0.5000 0.5000 0.5000  4 Tl 3.41, 4 Ho 3.41
Ho 0.7500 0.7500 0.7500  4 Sm 3.41, 4 Nd 3.41
Tl 0.2500 0.2500 0.2500  4 Sm 3.41, 4 Nd 3.41

Magnetic moment = 1.252 μB per formula unit

***

Model Q:
NdSmHoTl: optimized geometry, PBE.

a b c (Å): 4.8750 4.9011 4.9958
angles (deg): 90.00 90.00 90.00
Closest atoms and distances in Å follow each position.
Fractional coordinates of all 4 atoms:
Nd 0.0000 0.0000 0.0000  4 Sm 3.46, 4 Ho 3.49, 4 Tl 3.50
Sm 0.5000 0.5000 0.0000  4 Nd 3.46, 4 Tl 3.49, 4 Ho 3.50
Ho 0.5000 0.0000 0.5000  4 Tl 3.46, 4 Nd 3.49, 4 Sm 3.50
Tl 0.0000 0.5000 0.5000  4 Ho 3.46, 4 Sm 3.49, 4 Nd 3.50

Magnetic moment = 0.006 μB per formula unit

***

Verdict on stability: model Q comes out on top.

***

Model P:
NdSmHoZn: optimized geometry, PBE.

a b c (Å): 3.6152 3.6152 8.7478
angles (deg): 90.00 90.00 90.00
Closest atoms and distances in Å follow each position.
Fractional coordinates of all 4 atoms:
Nd 0.0000 0.0000 0.0000  4 Ho 3.61, 4 Nd 3.62, 4 Sm 3.67
Sm 0.5000 0.5000 0.6989  4 Zn 3.17
Ho 0.5000 0.5000 0.2916  4 Zn 3.06
Zn 0.0000 0.0000 0.4844  4 Ho 3.06, 4 Sm 3.17

Magnetic moment = 0.000 μB per formula unit

***

Model Q:
NdSmHoZn: optimized geometry, PBE.

a b c (Å): 5.4201 5.4201 5.4201
angles (deg): 60.00 60.00 60.00
Closest atoms and distances in Å follow each position.
Fractional coordinates of all 4 atoms:
Nd 0.0000 0.0000 0.0000  4 Ho 3.32, 4 Zn 3.32
Sm 0.5000 0.5000 0.5000  4 Ho 3.32, 4 Zn 3.32
Ho 0.7500 0.7500 0.7500  4 Nd 3.32, 4 Sm 3.32
Zn 0.2500 0.2500 0.2500  4 Nd 3.32, 4 Sm 3.32

Magnetic moment = 0.000 μB per formula unit

***

Verdict on stability: model P comes out on top.

***

Model P:
Nd2HoSn2: optimized geometry, PBE.

a b c (Å): 6.8315 6.8315 11.2550
angles (deg): 115.01 115.01 41.03
Closest atoms and distances in Å follow each position.
Fractional coordinates of all 10 atoms:
Nd 0.0116 0.0116 0.1798  6 Sn 3.28-3.54, 2 Ho 3.63
Nd 0.1827 0.1827 0.5919  4 Sn 3.26-3.53
Nd 0.8173 0.8173 0.4081  4 Sn 3.26-3.53
Nd 0.9884 0.9884 0.8202  6 Sn 3.28-3.54, 2 Ho 3.63
Ho 0.2860 0.2860 0.1440  4 Sn 2.99-3.13
Ho 0.7140 0.7140 0.8560  4 Sn 2.99-3.13
Sn 0.3708 0.3708 0.9258  1 Sn 2.96, 3 Ho 2.99-3.10
Sn 0.4652 0.4652 0.6104  1 Sn 3.00, 1 Ho 3.13, 4 Nd 3.26-3.28
Sn 0.5348 0.5348 0.3896  1 Sn 3.00, 1 Ho 3.13, 4 Nd 3.26-3.28
Sn 0.6292 0.6292 0.0742  1 Sn 2.96, 3 Ho 2.99-3.10

Magnetic moment = 0.000 μB per formula unit

***

Model Q:
Nd2HoSn2: optimized geometry, PBE.

a b c (Å): 8.1443 8.1443 4.5641
angles (deg): 90.00 90.00 90.00
Closest atoms and distances in Å follow each position.
Fractional coordinates of all 10 atoms:
Nd 0.1715 0.3285 0.0000  6 Sn 3.22-3.37
Nd 0.3285 0.8285 0.0000  6 Sn 3.22-3.37
Nd 0.6715 0.1715 0.0000  6 Sn 3.22-3.37
Nd 0.8285 0.6715 0.0000  6 Sn 3.22-3.37
Ho 0.0000 0.0000 0.5000  4 Sn 3.19
Ho 0.5000 0.5000 0.5000  4 Sn 3.19
Sn 0.1307 0.6307 0.5000  1 Sn 3.01, 2 Ho 3.19, 2 Nd 3.22
Sn 0.3693 0.1307 0.5000  1 Sn 3.01, 2 Ho 3.19, 2 Nd 3.22
Sn 0.6307 0.8693 0.5000  1 Sn 3.01, 2 Ho 3.19, 2 Nd 3.22
Sn 0.8693 0.3693 0.5000  1 Sn 3.01, 2 Ho 3.19, 2 Nd 3.22

Magnetic moment = 0.000 μB per formula unit

***

Verdict on stability: model Q comes out on top.

***

Model P:
Nd2Ho3Sn4: optimized geometry, PBE.

a b c (Å): 9.2539 9.2539 8.9329
angles (deg): 90.00 90.00 135.47
Closest atoms and distances in Å follow each position.
Fractional coordinates of all 18 atoms:
Nd 0.1109 0.8891 0.9110  4 Sn 3.33-3.70
Nd 0.3891 0.6109 0.4110  4 Sn 3.33-3.70
Nd 0.6109 0.3891 0.5890  4 Sn 3.33-3.70
Nd 0.8891 0.1109 0.0890  4 Sn 3.33-3.70
Ho 0.0000 0.0000 0.5000  6 Sn 2.89-3.23
Ho 0.0431 0.4569 0.7500  5 Sn 3.01-3.26
Ho 0.4569 0.0431 0.2500  5 Sn 3.01-3.26
Ho 0.5000 0.5000 0.0000  6 Sn 2.89-3.23
Ho 0.5431 0.9569 0.7500  5 Sn 3.01-3.26
Ho 0.9569 0.5431 0.2500  5 Sn 3.01-3.26
Sn 0.1862 0.8138 0.5550  5 Ho 3.08-3.26, 1 Nd 3.43
Sn 0.2188 0.2812 0.7500  3 Ho 2.89-3.01
Sn 0.2812 0.2188 0.2500  3 Ho 2.89-3.01
Sn 0.3138 0.6862 0.0550  5 Ho 3.08-3.26, 1 Nd 3.43
Sn 0.6862 0.3138 0.9450  5 Ho 3.08-3.26, 1 Nd 3.43
Sn 0.7188 0.7812 0.7500  3 Ho 2.89-3.01
Sn 0.7812 0.7188 0.2500  3 Ho 2.89-3.01
Sn 0.8138 0.1862 0.4450  5 Ho 3.08-3.26, 1 Nd 3.43

Magnetic moment = 0.000 μB per formula unit

***

Model Q:
Nd2Ho3Sn4: optimized geometry, PBE.

a b c (Å): 8.3245 8.3196 8.0311
angles (deg): 90.00 110.48 90.00
Closest atoms and distances in Å follow each position.
Fractional coordinates of all 18 atoms:
Nd 0.1926 0.1778 0.0625  6 Sn 3.19-3.55
Nd 0.1926 0.3222 0.5625  6 Sn 3.19-3.55
Nd 0.8074 0.6778 0.4375  6 Sn 3.19-3.55
Nd 0.8074 0.8222 0.9375  6 Sn 3.19-3.55
Ho 0.2472 0.6676 0.2413  6 Sn 3.04-3.20
Ho 0.2472 0.8324 0.7413  6 Sn 3.04-3.20
Ho 0.5000 0.0000 0.5000  6 Sn 3.16-3.27
Ho 0.5000 0.5000 0.0000  6 Sn 3.16-3.27
Ho 0.7528 0.1676 0.2587  6 Sn 3.04-3.20
Ho 0.7528 0.3324 0.7587  6 Sn 3.04-3.20
Sn 0.0826 0.5394 0.8415  4 Ho 3.04-3.27, 1 Nd 3.25, 1 Sn 3.36
Sn 0.0826 0.9606 0.3415  4 Ho 3.04-3.27, 1 Nd 3.25, 1 Sn 3.36
Sn 0.4890 0.1349 0.8633  5 Ho 3.09-3.22, 1 Sn 3.10, 2 Nd 3.19-3.40
Sn 0.4890 0.3651 0.3633  5 Ho 3.09-3.22, 1 Sn 3.10, 2 Nd 3.19-3.40
Sn 0.5110 0.6349 0.6367  5 Ho 3.09-3.22, 1 Sn 3.10, 2 Nd 3.19-3.40
Sn 0.5110 0.8651 0.1367  5 Ho 3.09-3.22, 1 Sn 3.10, 2 Nd 3.19-3.40
Sn 0.9174 0.0394 0.6585  4 Ho 3.04-3.27, 1 Nd 3.25, 1 Sn 3.36
Sn 0.9174 0.4606 0.1585  4 Ho 3.04-3.27, 1 Nd 3.25, 1 Sn 3.36

Magnetic moment = 0.000 μB per formula unit

***

Verdict on stability: model Q comes out on top.

***

Model P:
SrNdHo: optimized geometry, PBE.

a b c (Å): 3.7623 3.7623 9.3598
angles (deg): 90.00 90.00 120.00
Closest atoms and distances in Å follow each position.
Fractional coordinates of all 3 atoms:
Sr 0.0000 0.0000 0.0000  6 Sr 3.76, 3 Ho 3.90, 3 Nd 4.01
Nd 0.6667 0.3333 0.3605  3 Ho 3.50, 6 Nd 3.76
Ho 0.3333 0.6667 0.6540  3 Nd 3.50, 6 Ho 3.76, 3 Sr 3.90

Magnetic moment = 0.000 μB per formula unit

***

Model Q:
SrNdHo: optimized geometry, PBE.

a b c (Å): 8.5311 8.5311 8.5311
angles (deg): 154.47 154.47 36.42
Closest atoms and distances in Å follow each position.
Fractional coordinates of all 3 atoms:
Sr 0.0000 0.0000 0.0000  4 Sr 3.77, 4 Ho 3.92, 4 Nd 3.98
Nd 0.6822 0.6822 0.0000  4 Ho 3.50, 4 Nd 3.77
Ho 0.3224 0.3224 0.0000  4 Nd 3.50, 4 Ho 3.77

Magnetic moment = 0.000 μB per formula unit

***

Verdict on stability: model Q comes out on top.